VASP calculation (PBE) on a relaxed PdRuPt2 crystal.

Properties
crystal system	tetragonal
space group	P4/mmm (123)
E_form	0.08	eV/atom
relative energy among the computed polymorphs	0.39	eV/f.u.

Unit cell a=3.911 b=3.911 c=3.946 alpha=90.00 beta=90.00 gamma=90.00
Positions (direct):
1 Pd 0.000 0.000 0.000
2 Ru 0.500 0.500 0.000
3 Pt 0.000 0.500 0.500
4 Pt 0.500 0.000 0.500

VASP calculation (PBE) on a relaxed YCr2Si crystal.

Properties
crystal system	trigonal
formation energy from raw total energies	-0.17	eV per formula unit
space group	R-3m (166)

Unit cell a=4.121 b=4.121 c=14.991 alpha=90.00 beta=90.00 gamma=120.00
Positions (direct):
1 Y 0.000 0.000 0.000
2 Y 0.333 0.667 0.667
3 Y 0.667 0.333 0.333
4 Cr 0.000 0.000 0.185
5 Cr 0.000 0.000 0.815
6 Cr 0.333 0.667 0.481
7 Cr 0.333 0.667 0.852
8 Cr 0.667 0.333 0.148
9 Cr 0.667 0.333 0.519
10 Si 0.000 0.000 0.500
11 Si 0.333 0.667 0.167
12 Si 0.667 0.333 0.833

VASP calculation (PBE) on a relaxed Tb2NpPaAs4 crystal.

Properties
crystal system	monoclinic
space group	P2/m (10)
E_form	-1.21	eV/atom

Unit cell a=7.112 b=4.116 c=7.158 alpha=90.00 beta=109.45 gamma=90.00
Positions (direct):
1 Tb 0.000 0.000 0.000
2 Tb 0.500 0.500 0.000
3 Np 0.000 0.500 0.500
4 Pa 0.500 0.000 0.500
5 As 0.250 0.000 0.747
6 As 0.253 0.500 0.253
7 As 0.747 0.500 0.747
8 As 0.750 0.000 0.253

VASP calculation (PBE) on a relaxed CeTmAgOs crystal.

Properties
crystal system	cubic
space group	F-43m (216)
E_form	-0.19	eV/atom

Unit cell a=7.032 b=7.032 c=7.032 alpha=90.00 beta=90.00 gamma=90.00
Positions (direct):
1 Ce 0.000 0.000 0.000
2 Ce 0.000 0.500 0.500
3 Ce 0.500 0.000 0.500
4 Ce 0.500 0.500 0.000
5 Tm 0.000 0.000 0.500
6 Tm 0.000 0.500 0.000
7 Tm 0.500 0.000 0.000
8 Tm 0.500 0.500 0.500
9 Ag 0.250 0.250 0.250
10 Ag 0.250 0.750 0.750
11 Ag 0.750 0.250 0.750
12 Ag 0.750 0.750 0.250
13 Os 0.250 0.250 0.750
14 Os 0.250 0.750 0.250
15 Os 0.750 0.250 0.250
16 Os 0.750 0.750 0.750

VASP calculation (PBE) on a relaxed NdYErCd crystal.

Properties
crystal system	cubic
space group	F-43m (216)
E_form	-0.04	eV/atom
relative energy among the computed polymorphs	0.47	eV/f.u.

Unit cell a=7.776 b=7.776 c=7.776 alpha=90.00 beta=90.00 gamma=90.00
Positions (direct):
1 Nd 0.000 0.000 0.000
2 Nd 0.000 0.500 0.500
3 Nd 0.500 0.000 0.500
4 Nd 0.500 0.500 0.000
5 Y 0.000 0.000 0.500
6 Y 0.000 0.500 0.000
7 Y 0.500 0.000 0.000
8 Y 0.500 0.500 0.500
9 Er 0.250 0.250 0.250
10 Er 0.250 0.750 0.750
11 Er 0.750 0.250 0.750
12 Er 0.750 0.750 0.250
13 Cd 0.250 0.250 0.750
14 Cd 0.250 0.750 0.250
15 Cd 0.750 0.250 0.250
16 Cd 0.750 0.750 0.750

VASP calculation (PBE) on a relaxed Ac2HoScO6 crystal.

Properties
crystal system	monoclinic
formation energy from raw total energies	-34.78	eV per formula unit
space group	P2_1/c (14)

Unit cell a=5.927 b=6.048 c=10.302 alpha=90.00 beta=124.87 gamma=90.00
Positions (direct):
1 Ac 0.238 0.044 0.250
2 Ac 0.238 0.456 0.750
3 Ac 0.762 0.544 0.250
4 Ac 0.762 0.956 0.750
5 Ho 0.500 0.000 0.000
6 Ho 0.500 0.500 0.500
7 Sc 0.000 0.000 0.500
8 Sc 0.000 0.500 0.000
9 O 0.143 0.211 0.945
10 O 0.143 0.289 0.445
11 O 0.235 0.699 0.947
12 O 0.235 0.801 0.447
13 O 0.343 0.037 0.743
14 O 0.343 0.463 0.243
15 O 0.657 0.537 0.757
16 O 0.657 0.963 0.257
17 O 0.765 0.199 0.553
18 O 0.765 0.301 0.053
19 O 0.857 0.711 0.555
20 O 0.857 0.789 0.055